1.
CaI2O6: PBEsol geometry, SCAN.

Structure (POSCAR):
```
CaI2O6
1.0
7.105 0.000 0.000
0.000 11.200 0.000
-5.209 0.000 6.854
Ca I O
4 8 24
Cartesian
0.435 1.122 1.512
-2.170 4.478 4.939
4.065 6.722 1.915
1.461 10.078 5.342
-2.262 0.842 5.301
0.343 4.758 1.874
-1.758 8.035 5.278
0.847 8.765 1.851
1.049 2.435 5.003
3.654 3.165 1.576
1.553 6.442 4.980
4.158 10.358 1.553
-0.778 6.111 1.387
-3.383 10.689 4.813
-3.170 2.288 4.648
-0.565 3.312 1.221
-2.274 6.733 4.110
0.331 10.067 0.683
2.576 1.068 0.255
-0.028 4.532 3.682
2.447 8.337 1.042
-0.157 8.463 4.469
0.347 1.231 3.837
2.951 4.369 0.410
-1.055 6.831 6.443
1.549 9.969 3.017
2.053 2.737 2.385
-0.551 2.863 5.812
1.924 6.668 3.171
-0.680 10.132 6.598
1.565 1.133 6.171
4.170 4.467 2.744
2.461 7.888 5.632
5.066 8.912 2.206
5.279 0.511 2.040
2.674 5.089 5.467
```

Computed properties:
- raw formation energy (eV/atom) = -1.174

2.
YRuPb3: PBEsol geometry, SCAN.

Structure (POSCAR):
```
YRuPb3
1.0
5.633 0.000 0.000
0.000 5.633 0.000
0.000 0.000 5.633
Y Ru Pb
1 1 3
Cartesian
0.000 0.000 0.000
2.817 2.817 2.817
0.000 0.000 2.817
0.000 2.817 0.000
2.817 0.000 0.000
```

Computed properties:
- raw total energy (eV for the cell shown) = -283.783

3.
CdSbN2F: PBEsol geometry, SCAN.

Structure (POSCAR):
```
CdSbN2F
1.0
3.902 0.000 0.000
0.000 3.902 0.000
0.000 0.000 6.003
Cd Sb N F
1 1 2 1
Cartesian
0.000 0.000 0.000
0.000 0.000 3.001
0.000 1.951 3.001
1.951 0.000 3.001
1.951 1.951 0.000
```

Computed properties:
- E above lowest polymorph (meV/atom) = 590
- raw formation energy (eV/atom) = 0.827

4.
Y2NiAu: PBEsol geometry, SCAN.

Structure (POSCAR):
```
Y2NiAu
1.0
4.881 0.000 0.000
0.000 4.881 0.000
0.000 0.000 3.457
Y Ni Au
2 1 1
Cartesian
0.000 2.441 0.000
2.441 0.000 0.000
0.000 0.000 1.729
2.441 2.441 1.729
```

Computed properties:
- raw total energy (eV for the cell shown) = -143.896

5.
BTe2S: PBEsol geometry, SCAN.

Structure (POSCAR):
```
BTe2S
1.0
-3.283 3.283 4.065
3.283 -3.283 4.065
3.283 3.283 -4.065
B Te S
2 4 2
Cartesian
0.000 0.000 0.000
0.000 3.283 2.032
4.924 1.218 -1.016
1.218 1.641 1.016
-1.641 2.065 3.049
2.065 1.641 5.081
3.283 0.000 2.032
0.000 0.000 4.065
```

Computed properties:
- E above lowest polymorph (meV/atom) = 0
- raw formation energy (eV/atom) = 0.607

6.
BaHgPb2: PBEsol geometry, SCAN.

Structure (POSCAR):
```
BaHgPb2
1.0
4.938 0.000 0.000
0.000 4.938 0.000
0.000 0.000 4.995
Ba Hg Pb
1 1 2
Cartesian
0.000 0.000 0.000
2.469 2.469 0.000
0.000 2.469 2.498
2.469 0.000 2.498
```

Computed properties:
- E above lowest polymorph (meV/atom) = 91

7.
TiPd2RhSe: PBEsol geometry, SCAN.

Structure (POSCAR):
```
TiPd2RhSe
1.0
4.491 0.000 0.000
0.000 4.491 0.000
0.000 0.000 4.602
Ti Pd Rh Se
1 2 1 1
Cartesian
0.000 0.000 0.000
0.000 2.246 2.301
2.246 0.000 2.301
2.246 2.246 0.000
0.000 0.000 2.301
```

Computed properties:
- raw formation energy (eV/atom) = 0.375

8.
ZnOs2Rh: PBEsol geometry, SCAN.

Structure (POSCAR):
```
ZnOs2Rh
1.0
3.653 0.000 0.000
0.000 3.653 0.000
0.000 0.000 4.136
Zn Os Rh
1 2 1
Cartesian
0.000 0.000 0.000
0.000 1.827 2.068
1.827 0.000 2.068
1.827 1.827 0.000
```

Computed properties:
- raw total energy (eV for the cell shown) = -189.715

9.
CuRe2Pb: PBEsol geometry, SCAN.

Structure (POSCAR):
```
CuRe2Pb
1.0
3.800 0.000 0.000
0.000 3.800 0.000
0.000 0.000 4.441
Cu Re Pb
1 2 1
Cartesian
0.000 0.000 0.000
0.000 1.900 2.221
1.900 0.000 2.221
1.900 1.900 0.000
```

Computed properties:
- E above lowest polymorph (meV/atom) = 129

10.
Ta2MnTc: PBEsol geometry, SCAN.

Structure (POSCAR):
```
Ta2MnTc
1.0
3.094 0.000 0.000
0.000 3.094 0.000
0.000 0.000 6.177
Ta Mn Tc
2 1 1
Cartesian
0.000 0.000 1.503
0.000 0.000 4.674
1.547 1.547 0.000
1.547 1.547 3.088
```

Computed properties:
- raw total energy (eV for the cell shown) = -188.222

11.
ReGeSCl2: PBEsol geometry, SCAN.

Structure (POSCAR):
```
ReGeSCl2
1.0
4.807 0.000 0.000
0.000 4.807 0.000
0.000 0.000 4.916
Re Ge S Cl
1 1 1 2
Cartesian
0.000 0.000 0.000
2.404 2.404 2.458
2.404 2.404 0.000
0.000 2.404 2.458
2.404 0.000 2.458
```

Computed properties:
- raw formation energy (eV/atom) = 0.921

12.
Li5SbS3I2: PBEsol geometry, SCAN.

Structure (POSCAR):
```
Li5SbS3I2
1.0
10.266 0.000 0.000
0.000 13.371 0.000
0.000 0.000 7.455
Li Sb S I
20 4 12 8
Cartesian
0.643 1.306 1.733
0.643 1.306 5.722
1.897 6.166 0.000
2.014 10.054 1.904
2.014 10.054 5.552
3.119 3.368 1.824
3.119 3.368 5.631
3.236 12.851 3.728
4.490 7.991 1.995
4.490 7.991 5.460
5.776 5.380 1.995
5.776 5.380 5.460
7.030 0.520 3.728
7.147 10.002 1.824
7.147 10.002 5.631
8.252 3.317 1.904
8.252 3.317 5.552
8.369 7.205 0.000
9.622 12.065 1.733
9.622 12.065 5.722
2.012 6.594 3.728
3.121 13.279 0.000
7.145 0.091 0.000
8.254 6.777 3.728
1.761 12.470 1.874
1.761 12.470 5.581
2.068 2.145 0.000
3.065 8.830 3.728
3.372 5.785 1.853
3.372 5.785 5.602
6.894 7.586 1.853
6.894 7.586 5.602
7.201 4.540 3.728
8.198 11.226 0.000
8.505 0.901 1.874
8.505 0.901 5.581
0.573 8.595 0.000
0.734 3.224 3.728
4.399 9.909 0.000
4.560 1.910 3.728
5.706 11.461 3.728
5.867 3.461 0.000
9.532 10.147 3.728
9.693 4.776 0.000
```

Computed properties:
- raw formation energy (eV/atom) = -1.184

no.,total moment (μB/cell)
1,0.0
2,2.7
3,1.6
4,0.0
5,0.0
6,0.0
7,0.4
8,0.0
9,0.0
10,0.0
11,5.5
12,0.0